[1]
Density functional theory data (PBE) for a relaxed structure of Ce3Pr4ThSe8.

```
Ce3Pr4ThSe8
1.0
-7.5963 0.1231 3.7219
-3.2439 -4.4042 -6.4751
6.7152 -2.9841 4.1892
Ce Pr Th Se
3 4 1 8
Cartesian
-5.4201 -2.1405 -1.3766 Ce
-2.0625 -3.6326 0.7180 Ce
1.7356 -3.6941 -1.1429 Ce
-3.7982 0.0615 1.8610 Pr
-0.4406 -1.4305 3.9556 Pr
0.0000 0.0000 0.0000 Pr
3.3576 -1.4921 2.0946 Pr
-1.6220 -2.2021 -3.2375 Th
2.3864 -6.2276 0.2740 Se
-0.9675 -4.7371 -1.8180 Se
0.6408 -2.5943 1.3936 Se
-1.4079 -6.1661 2.1330 Se
-2.7171 -1.0991 -0.6969 Se
-4.7658 -4.6708 0.0425 Se
-3.1575 -2.5281 3.2541 Se
-6.5115 -1.0376 1.1621 Se
```

- Magnetization: 2.68 μB per cell
- ρ: 7.15 g/cm³
- Energy: -101.01 eV/cell

---

[2]
Density functional theory data (PBE) for a relaxed structure of Ce2PrThSe4.

```
Ce2PrThSe4
1.0
-2.5252 0.8597 -3.2607
-3.4806 -6.3301 1.0264
-3.2690 5.2355 3.9120
Ce Pr Th Se
2 1 1 4
Cartesian
-2.8971 3.0476 0.3256 Ce
-3.3748 -0.5473 2.4692 Ce
0.0000 0.0000 0.0000 Pr
-3.0029 -2.7352 -1.1172 Th
-2.9713 0.1587 -0.3786 Se
-6.3035 -0.3935 2.0564 Se
-3.3136 2.3301 3.1805 Se
-3.4360 -3.4247 1.7580 Se
```

- Magnetization: 1.71 μB per cell
- ρ: 7.60 g/cm³
- Energy: -52.08 eV/cell

---

Uncorrected formation energy / eV/atom: -1.800; -1.759